First-principles (GGA-PBE) data for an optimized crystal structure of TaNiSb, as listed in Alexandria via LeMat-Bulk.

## Properties
Energy, Ry per atom: -0.52492
Total magnetic moment, μB per formula unit: 0.0
E_form (uncorrected), eV per formula unit: 0.33

Cell: 5.6689 5.6689 5.6689 Å, 147.82 147.82 46.16°
With the nearest neighbours (Å) after each atom.
Atoms (fractional coordinates):
Ni1 0.0050 0.0050 0.0000  4 Ta 2.68, 4 Sb 2.77
Sb1 0.3469 0.3469 0.0000  4 Ni 2.77, 4 Ta 3.04
Ta1 0.6481 0.6481 0.0000  4 Ni 2.68


First-principles (GGA-PBE) data for an optimized crystal structure of Tb5Ge2Sb, as listed in Alexandria via LeMat-Bulk.

## Properties
Energy, Ry per atom: -0.39432
Total magnetic moment, μB per formula unit: 1.7
E_form (uncorrected), eV per formula unit: -6.41

Cell: 7.8914 7.8914 8.7729 Å, 116.73 116.73 90.00°
With the nearest neighbours (Å) after each atom.
Atoms (fractional coordinates):
Tb1 0.5148 0.7010 0.7157  3 Ge 2.93-3.07
Tb2 0.7990 0.9852 0.2843  3 Ge 2.93-3.07
Tb3 0.0000 0.0000 0.0000  4 Ge 3.02, 2 Sb 3.38
Tb4 0.5000 0.5000 0.0000  4 Ge 3.02, 2 Sb 3.38
Tb5 0.2010 0.0148 0.7157  3 Ge 2.93-3.07
Tb6 0.7010 0.2010 0.7157  3 Ge 2.93-3.07
Tb7 0.0148 0.5148 0.7157  3 Ge 2.93-3.07
Tb8 0.2990 0.7990 0.2843  3 Ge 2.93-3.07
Tb9 0.9852 0.4852 0.2843  3 Ge 2.93-3.07
Tb10 0.4852 0.2990 0.2843  3 Ge 2.93-3.07
Ge1 0.1456 0.3544 0.0000  8 Tb 2.93-3.07, 1 Ge 3.25
Ge2 0.6456 0.1456 0.0000  8 Tb 2.93-3.07, 1 Ge 3.25
Ge3 0.3544 0.8544 0.0000  8 Tb 2.93-3.07, 1 Ge 3.25
Ge4 0.8544 0.6456 0.0000  8 Tb 2.93-3.07, 1 Ge 3.25
Sb1 0.7500 0.7500 0.5000  10 Tb 3.32-3.38
Sb2 0.2500 0.2500 0.5000  10 Tb 3.32-3.38


Repeat the second record exactly.
First-principles (GGA-PBE) data for an optimized crystal structure of Tb5Ge2Sb, as listed in Alexandria via LeMat-Bulk.

## Properties
Energy, Ry per atom: -0.39432
Total magnetic moment, μB per formula unit: 1.7
E_form (uncorrected), eV per formula unit: -6.41

Cell: 7.8914 7.8914 8.7729 Å, 116.73 116.73 90.00°
With the nearest neighbours (Å) after each atom.
Atoms (fractional coordinates):
Tb1 0.5148 0.7010 0.7157  3 Ge 2.93-3.07
Tb2 0.7990 0.9852 0.2843  3 Ge 2.93-3.07
Tb3 0.0000 0.0000 0.0000  4 Ge 3.02, 2 Sb 3.38
Tb4 0.5000 0.5000 0.0000  4 Ge 3.02, 2 Sb 3.38
Tb5 0.2010 0.0148 0.7157  3 Ge 2.93-3.07
Tb6 0.7010 0.2010 0.7157  3 Ge 2.93-3.07
Tb7 0.0148 0.5148 0.7157  3 Ge 2.93-3.07
Tb8 0.2990 0.7990 0.2843  3 Ge 2.93-3.07
Tb9 0.9852 0.4852 0.2843  3 Ge 2.93-3.07
Tb10 0.4852 0.2990 0.2843  3 Ge 2.93-3.07
Ge1 0.1456 0.3544 0.0000  8 Tb 2.93-3.07, 1 Ge 3.25
Ge2 0.6456 0.1456 0.0000  8 Tb 2.93-3.07, 1 Ge 3.25
Ge3 0.3544 0.8544 0.0000  8 Tb 2.93-3.07, 1 Ge 3.25
Ge4 0.8544 0.6456 0.0000  8 Tb 2.93-3.07, 1 Ge 3.25
Sb1 0.7500 0.7500 0.5000  10 Tb 3.32-3.38
Sb2 0.2500 0.2500 0.5000  10 Tb 3.32-3.38